Computed, not measured: a geometry-optimized Zr2Cl structure at the PBE-GGA level of DFT.

Unit cell a=4.5085 b=4.5085 c=3.1177 alpha=90.00 beta=90.00 gamma=90.00
With the nearest neighbours (Å) after each atom.
Fractional coordinates of all 3 atoms:
Zr1 0.0000 0.5000 0.0000  4 Cl 2.74
Zr2 0.5000 0.0000 0.0000  4 Cl 2.74
Cl1 0.0000 0.0000 0.5000  8 Zr 2.74

## Properties
formation energy without anion corrections = 149.4 meV per atom
energy above the most stable polymorph in this dataset = 2.198 eV/f.u.
space-group type = P4/mmm (123)

***

Computed, not measured: a geometry-optimized Zr2Cl structure at the PBE-GGA level of DFT.

Unit cell a=6.2578 b=6.2578 c=6.2578 alpha=90.00 beta=90.00 gamma=90.00
With the nearest neighbours (Å) after each atom.
Fractional coordinates of all 12 atoms:
Zr1 0.1402 0.1402 0.1402  3 Cl 2.57
Zr2 0.1402 0.3598 0.6402  3 Cl 2.57
Zr3 0.3598 0.6402 0.1402  3 Cl 2.57
Zr4 0.3598 0.8598 0.6402  3 Cl 2.57
Zr5 0.6402 0.1402 0.3598  3 Cl 2.57
Zr6 0.6402 0.3598 0.8598  3 Cl 2.57
Zr7 0.8598 0.6402 0.3598  3 Cl 2.57
Zr8 0.8598 0.8598 0.8598  3 Cl 2.57
Cl1 0.0000 0.0000 0.5000  6 Zr 2.57
Cl2 0.0000 0.5000 0.0000  6 Zr 2.57
Cl3 0.5000 0.0000 0.0000  6 Zr 2.57
Cl4 0.5000 0.5000 0.5000  6 Zr 2.57

## Properties
formation energy without anion corrections = -383.3 meV per atom
energy above the most stable polymorph in this dataset = 0.600 eV/f.u.
space-group type = Pa-3 (205)

***

Computed, not measured: a geometry-optimized Zr5Cl4 structure at the PBE-GGA level of DFT.

Unit cell a=7.7150 b=7.7150 c=6.6524 alpha=90.00 beta=90.00 gamma=120.00
With the nearest neighbours (Å) after each atom.
Fractional coordinates of all 18 atoms:
Zr1 0.0000 0.2644 0.2500  5 Cl 2.54-2.75
Zr2 0.0000 0.7356 0.7500  5 Cl 2.54-2.75
Zr3 0.2644 0.0000 0.2500  5 Cl 2.54-2.75
Zr4 0.2644 0.2644 0.7500  5 Cl 2.54-2.75
Zr5 0.3333 0.6667 0.0000  6 Cl 2.87
Zr6 0.3333 0.6667 0.5000  6 Cl 2.87
Zr7 0.6667 0.3333 0.0000  6 Cl 2.87
Zr8 0.6667 0.3333 0.5000  6 Cl 2.87
Zr9 0.7356 0.0000 0.7500  5 Cl 2.54-2.75
Zr10 0.7356 0.7356 0.2500  5 Cl 2.54-2.75
Cl1 0.0000 0.0000 0.0000  6 Zr 2.63
Cl2 0.0000 0.0000 0.5000  6 Zr 2.63
Cl3 0.0000 0.4057 0.7500  3 Zr 2.54-2.75
Cl4 0.0000 0.5943 0.2500  3 Zr 2.54-2.75
Cl5 0.4057 0.0000 0.7500  3 Zr 2.54-2.75
Cl6 0.4057 0.4057 0.2500  3 Zr 2.54-2.75
Cl7 0.5943 0.0000 0.2500  3 Zr 2.54-2.75
Cl8 0.5943 0.5943 0.7500  3 Zr 2.54-2.75

## Properties
formation energy without anion corrections = -219.5 meV per atom
space-group type = P6_3/mcm (193)

***

Computed, not measured: a geometry-optimized Zr2Cl structure at the PBE-GGA level of DFT.

Unit cell a=5.3480 b=5.3480 c=5.3480 alpha=107.22 beta=107.22 gamma=114.08
With the nearest neighbours (Å) after each atom.
Fractional coordinates of all 6 atoms:
Zr1 0.1580 0.6580 0.8159  4 Cl 2.80, 1 Zr 2.84
Zr2 0.3420 0.1580 0.5000  4 Cl 2.80, 1 Zr 2.84
Zr3 0.6580 0.8420 0.5000  4 Cl 2.80, 1 Zr 2.84
Zr4 0.8420 0.3420 0.1841  4 Cl 2.80, 1 Zr 2.84
Cl1 0.2500 0.2500 0.0000  8 Zr 2.80, 2 Cl 2.91
Cl2 0.7500 0.7500 0.0000  8 Zr 2.80, 2 Cl 2.91

## Properties
formation energy without anion corrections = -392.7 meV per atom
energy above the most stable polymorph in this dataset = 0.571 eV/f.u.
space-group type = I4/mcm (140)

***

Computed, not measured: a geometry-optimized ZrCl2 structure at the PBE-GGA level of DFT.

Unit cell a=5.4909 b=5.4909 c=5.4909 alpha=108.89 beta=108.89 gamma=110.64
With the nearest neighbours (Å) after each atom.
Fractional coordinates of all 6 atoms:
Zr1 0.2500 0.2500 0.0000  8 Cl 2.80, 2 Zr 3.12
Zr2 0.7500 0.7500 0.0000  8 Cl 2.80, 2 Zr 3.12
Cl1 0.1898 0.6898 0.8795  4 Zr 2.80
Cl2 0.3102 0.1898 0.5000  4 Zr 2.80
Cl3 0.6898 0.8102 0.5000  4 Zr 2.80
Cl4 0.8102 0.3102 0.1205  4 Zr 2.80

## Properties
formation energy without anion corrections = -1097.6 meV per atom
space-group type = I4/mcm (140)

***

Computed, not measured: a geometry-optimized ZrCl2 structure at the PBE-GGA level of DFT.

Unit cell a=7.8048 b=7.8048 c=3.3970 alpha=90.00 beta=90.00 gamma=155.21
With the nearest neighbours (Å) after each atom.
Fractional coordinates of all 3 atoms:
Zr1 0.0000 0.0000 0.0000  4 Cl 2.54
Cl1 0.3748 0.6252 0.0000  2 Zr 2.54
Cl2 0.6252 0.3748 0.0000  2 Zr 2.54

## Properties
formation energy without anion corrections = -1259.5 meV per atom
space-group type = Cmmm (65)

***

Computed, not measured: a geometry-optimized ZrCl2 structure at the PBE-GGA level of DFT.

Unit cell a=8.0627 b=8.0627 c=3.2555 alpha=90.00 beta=90.00 gamma=120.00
With the nearest neighbours (Å) after each atom.
Fractional coordinates of all 9 atoms:
Zr1 0.0000 0.0000 0.0000  6 Cl 2.59
Zr2 0.3333 0.6667 0.5000  9 Cl 2.92-3.08, 2 Zr 3.26
Zr3 0.6667 0.3333 0.5000  9 Cl 2.92-3.08, 2 Zr 3.26
Cl1 0.0000 0.2497 0.5000  2 Zr 2.59
Cl2 0.0000 0.5862 0.0000  4 Zr 2.92, 4 Cl 3.16-3.26
Cl3 0.2497 0.0000 0.5000  2 Zr 2.59
Cl4 0.4138 0.4138 0.0000  4 Zr 2.92, 4 Cl 3.16-3.26
Cl5 0.5862 0.0000 0.0000  4 Zr 2.92, 4 Cl 3.16-3.26
Cl6 0.7503 0.7503 0.5000  2 Zr 2.59

## Properties
formation energy without anion corrections = -975.5 meV per atom
space-group type = P-62m (189)

***

Computed, not measured: a geometry-optimized Zr2Cl structure at the PBE-GGA level of DFT.

Unit cell a=6.0141 b=6.4493 c=3.1835 alpha=90.00 beta=90.00 gamma=90.00
With the nearest neighbours (Å) after each atom.
Fractional coordinates of all 6 atoms:
Zr1 0.1974 0.1563 0.0000  3 Cl 2.51-2.62
Zr2 0.3026 0.6563 0.5000  3 Cl 2.51-2.62
Zr3 0.6974 0.3437 0.5000  3 Cl 2.51-2.62
Zr4 0.8026 0.8437 0.0000  3 Cl 2.51-2.62
Cl1 0.0000 0.5000 0.0000  6 Zr 2.51-2.62
Cl2 0.5000 0.0000 0.5000  6 Zr 2.51-2.62

## Properties
formation energy without anion corrections = -406.0 meV per atom
energy above the most stable polymorph in this dataset = 0.532 eV/f.u.
space-group type = Pnnm (58)

***

Computed, not measured: a geometry-optimized CrCo structure at the PBE-GGA level of DFT.

Unit cell a=9.2362 b=3.8543 c=4.9450 alpha=90.00 beta=90.00 gamma=90.00
With the nearest neighbours (Å) after each atom.
Fractional coordinates of all 16 atoms:
Cr1 0.0614 0.2500 0.1005  6 Co 2.34-2.59, 4 Cr 2.45-2.50
Cr2 0.1792 0.7500 0.3371  8 Co 2.28-2.55, 2 Cr 2.50
Cr3 0.3208 0.2500 0.8371  8 Co 2.28-2.55, 2 Cr 2.50
Cr4 0.4386 0.7500 0.6005  6 Co 2.34-2.59, 4 Cr 2.45-2.50
Cr5 0.5614 0.2500 0.3995  6 Co 2.34-2.59, 4 Cr 2.45-2.50
Cr6 0.6792 0.7500 0.1629  8 Co 2.28-2.55, 2 Cr 2.50
Cr7 0.8208 0.2500 0.6629  8 Co 2.28-2.55, 2 Cr 2.50
Cr8 0.9386 0.7500 0.8995  6 Co 2.34-2.59, 4 Cr 2.45-2.50
Co1 0.0759 0.2500 0.6013  6 Cr 2.38-2.55, 5 Co 2.50-2.58
Co2 0.1899 0.7500 0.8444  5 Cr 2.28-2.51, 3 Co 2.50-2.51
Co3 0.3101 0.2500 0.3444  5 Cr 2.28-2.51, 3 Co 2.50-2.51
Co4 0.4241 0.7500 0.1013  6 Cr 2.38-2.55, 5 Co 2.50-2.58
Co5 0.5759 0.2500 0.8987  6 Cr 2.38-2.55, 5 Co 2.50-2.58
Co6 0.6899 0.7500 0.6556  5 Cr 2.28-2.51, 3 Co 2.50-2.51
Co7 0.8101 0.2500 0.1556  5 Cr 2.28-2.51, 3 Co 2.50-2.51
Co8 0.9241 0.7500 0.3987  6 Cr 2.38-2.55, 5 Co 2.50-2.58

## Properties
ΔH_f (0 K) = 9.5 kJ per mole of atoms
space-group type = Pnma (62)

***

Computed, not measured: a geometry-optimized CrCo structure at the PBE-GGA level of DFT.

Unit cell a=2.4302 b=3.8100 c=4.9175 alpha=90.00 beta=101.86 gamma=90.00
With the nearest neighbours (Å) after each atom.
Fractional coordinates of all 4 atoms:
Cr1 0.1929 0.2500 0.1274  4 Cr 2.37-2.43, 4 Co 2.40-2.54
Cr2 0.8071 0.7500 0.8726  4 Cr 2.37-2.43, 4 Co 2.40-2.54
Co1 0.2956 0.2500 0.6230  6 Cr 2.40-2.67, 6 Co 2.43-2.56
Co2 0.7044 0.7500 0.3770  6 Cr 2.40-2.67, 6 Co 2.43-2.56

## Properties
ΔH_f (0 K) = 13.1 kJ per mole of atoms
space-group type = P2_1/m (11)

***

Computed, not measured: a geometry-optimized CrCo5 structure at the PBE-GGA level of DFT.

Unit cell a=3.9920 b=6.6108 c=6.6108 alpha=21.82 beta=90.00 gamma=90.00
With the nearest neighbours (Å) after each atom.
Fractional coordinates of all 6 atoms:
Cr1 0.0000 0.0000 0.0000  10 Co 2.45-2.52, 2 Cr 2.50
Co1 0.0000 0.3338 0.3338  10 Co 2.46-2.50, 2 Cr 2.49
Co2 0.0000 0.6685 0.6685  10 Co 2.46-2.50, 2 Cr 2.52
Co3 0.5000 0.2232 0.2232  12 Co 2.46-2.50
Co4 0.5000 0.5575 0.5575  8 Co 2.46-2.51, 4 Cr 2.47
Co5 0.5000 0.8900 0.8900  2 Cr 2.45, 10 Co 2.47-2.51

## Properties
ΔH_f (0 K) = 4.3 kJ per mole of atoms
space-group type = Amm2 (38)

***

Computed, not measured: a geometry-optimized CrCo structure at the PBE-GGA level of DFT.

Unit cell a=6.8327 b=6.8327 c=4.0586 alpha=90.00 beta=90.00 gamma=90.00
With the nearest neighbours (Å) after each atom.
Fractional coordinates of all 16 atoms:
Cr1 0.0634 0.2950 0.0000  5 Co 2.33-2.56, 2 Cr 2.33
Cr2 0.0911 0.7709 0.5000  4 Cr 2.33-2.38, 2 Co 2.35-2.53
Cr3 0.2291 0.0911 0.5000  4 Cr 2.33-2.38, 2 Co 2.35-2.53
Cr4 0.2950 0.9366 0.0000  5 Co 2.33-2.56, 2 Cr 2.33
Cr5 0.7050 0.0634 0.0000  5 Co 2.33-2.56, 2 Cr 2.33
Cr6 0.7709 0.9089 0.5000  4 Cr 2.33-2.38, 2 Co 2.35-2.53
Cr7 0.9089 0.2291 0.5000  4 Cr 2.33-2.38, 2 Co 2.35-2.53
Cr8 0.9366 0.7050 0.0000  5 Co 2.33-2.56, 2 Cr 2.33
Co1 0.2448 0.4340 0.5000  6 Co 2.32-2.56, 4 Cr 2.35-2.56
Co2 0.2689 0.5970 0.0000  6 Co 2.32-2.56, 3 Cr 2.33-2.50
Co3 0.4030 0.2689 0.0000  6 Co 2.32-2.56, 3 Cr 2.33-2.50
Co4 0.4340 0.7552 0.5000  6 Co 2.32-2.56, 4 Cr 2.35-2.56
Co5 0.5660 0.2448 0.5000  6 Co 2.32-2.56, 4 Cr 2.35-2.56
Co6 0.5970 0.7311 0.0000  6 Co 2.32-2.56, 3 Cr 2.33-2.50
Co7 0.7311 0.4030 0.0000  6 Co 2.32-2.56, 3 Cr 2.33-2.50
Co8 0.7552 0.5660 0.5000  6 Co 2.32-2.56, 4 Cr 2.35-2.56

## Properties
ΔH_f (0 K) = 40.6 kJ per mole of atoms
space-group type = P4/m (83)

***

| no. | uncorrected energy (eV/cell) |
| --- | --- |
| 1 | -18.495 |
| 2 | -80.371 |
| 3 | -104.206 |
| 4 | -40.242 |
| 5 | -31.069 |
| 6 | -16.020 |
| 7 | -45.504 |
| 8 | -40.322 |
| 9 | -132.266 |
| 10 | -32.913 |
| 11 | -44.887 |
| 12 | -127.098 |